Version i
DFT (PBE-GGA) results for AcMg3Cu2 after structural relaxation.

a = 16.4960 Å, b = 4.3582 Å, c = 8.5164 Å
α = 90.00°, β = 116.89°, γ = 90.00°
Space group C2/m (No. 12)
Unique sites:
Ac  0.1470  0.0000  0.0686
Mg  0.0422  0.0000  0.3702
Mg  0.0991  0.5000  0.6927
Mg  0.1826  0.5000  0.4474
Cu  0.0165  0.5000  0.1571
Cu  0.1960  0.0000  0.6859


Version ii
DFT (PBE-GGA) results for AcMg3Cu2 after structural relaxation.

a = 10.2667 Å, b = 10.2667 Å, c = 4.3755 Å
α = 90.00°, β = 90.00°, γ = 120.00°
Space group P6/mmm (No. 191)
Unique sites:
Ac  0.0000  0.0000  0.0000
Ac  0.3333  0.6667  0.5000
Mg  0.0000  0.2966  0.5000
Mg  0.0000  0.5000  0.0000
Cu  0.1887  0.3774  0.0000


Q: What are the energies relative to the best structure? A: version i 44; version ii 0, in meV/atom.


Version i
DFT (PBE-GGA) results for Ac2MgCu after structural relaxation.

a = 7.9426 Å, b = 7.9426 Å, c = 7.9426 Å
α = 90.00°, β = 90.00°, γ = 90.00°
Space group Fm-3m (No. 225)
Unique sites:
Ac  0.2500  0.2500  0.2500
Mg  0.0000  0.0000  0.0000
Cu  0.0000  0.0000  0.5000


Version ii
DFT (PBE-GGA) results for Ac2MgCu after structural relaxation.

a = 3.9314 Å, b = 3.9314 Å, c = 8.0254 Å
α = 90.00°, β = 90.00°, γ = 90.00°
Space group P4/mmm (No. 123)
Unique sites:
Ac  0.0000  0.0000  0.2272
Mg  0.5000  0.5000  0.5000
Cu  0.5000  0.5000  0.0000


Q: What are the energies relative to the best structure? A: version i 64; version ii 0, in meV/atom.


Version i
DFT (PBE-GGA) results for AcMg3Cu after structural relaxation.

a = 13.1402 Å, b = 6.2196 Å, c = 7.9180 Å
α = 90.00°, β = 126.81°, γ = 90.00°
Space group C2/m (No. 12)
Unique sites:
Ac  0.0000  0.0000  0.0000
Ac  0.0000  0.0000  0.5000
Mg  0.0004  0.5000  0.2161
Mg  0.2500  0.2500  0.0000
Mg  0.2500  0.2500  0.5000
Cu  0.1446  0.5000  0.6449


Version ii
DFT (PBE-GGA) results for AcMg3Cu after structural relaxation.

a = 5.0362 Å, b = 5.0362 Å, c = 5.0362 Å
α = 90.00°, β = 90.00°, γ = 90.00°
Space group Pm-3m (No. 221)
Unique sites:
Ac  0.0000  0.0000  0.0000
Mg  0.0000  0.5000  0.5000
Cu  0.5000  0.5000  0.5000


Q: What are the energies relative to the best structure? A: version i 0; version ii 8, in meV/atom.


Version i
DFT (PBE-GGA) results for NaAcCu after structural relaxation.

a = 3.7742 Å, b = 3.7742 Å, c = 12.8522 Å
α = 90.00°, β = 90.00°, γ = 90.00°
Space group I4mm (No. 107)
Unique sites:
Na  0.0000  0.0000  0.0000
Ac  0.0000  0.0000  0.2693
Cu  0.0000  0.0000  0.6425


Version ii
DFT (PBE-GGA) results for NaAcCu after structural relaxation.

a = 4.1840 Å, b = 4.2729 Å, c = 13.4997 Å
α = 91.54°, β = 98.12°, γ = 117.43°
Space group P1 (No. 1)
Unique sites:
Na  0.0000  0.0000  0.0000
Na  0.1946  0.5577  0.7907
Ac  0.5049  0.7218  0.2462
Ac  0.6911  0.8308  0.5450
Cu  0.2651  0.1049  0.3958
Cu  0.9301  0.4465  0.3956


Q: What are the energies relative to the best structure? A: version i 210; version ii 0, in meV/atom.


Version i
DFT (PBE-GGA) results for Ac2NdCu2 after structural relaxation.

a = 6.7659 Å, b = 15.4049 Å, c = 6.0504 Å
α = 90.00°, β = 90.00°, γ = 90.00°
Space group Cmcm (No. 63)
Unique sites:
Ac  0.0000  0.0853  0.2500
Ac  0.0000  0.2808  0.7500
Nd  0.0000  0.5000  0.0000
Cu  0.1956  0.1072  0.7500


Version ii
DFT (PBE-GGA) results for Ac2NdCu2 after structural relaxation.

a = 6.4220 Å, b = 4.1416 Å, c = 11.5885 Å
α = 90.00°, β = 95.07°, γ = 90.00°
Space group P2_1/m (No. 11)
Unique sites:
Ac  0.1142  0.2500  0.3768
Ac  0.2666  0.2500  0.0566
Nd  0.3814  0.2500  0.7105
Cu  0.1945  0.7500  0.8562
Cu  0.3956  0.7500  0.5225


Q: What are the energies relative to the best structure? A: version i 148; version ii 0, in meV/atom.


Version i
DFT (PBE-GGA) results for Ac2NdCu after structural relaxation.

a = 3.9622 Å, b = 3.9622 Å, c = 31.2178 Å
α = 90.00°, β = 90.00°, γ = 120.00°
Space group R-3m (No. 166, hexagonal axes)
Unique sites:
Ac  0.0000  0.0000  0.2347
Nd  0.0000  0.0000  0.0000
Cu  0.0000  0.0000  0.5000


Version ii
DFT (PBE-GGA) results for Ac2NdCu after structural relaxation.

a = 3.8361 Å, b = 3.8361 Å, c = 9.2284 Å
α = 90.00°, β = 90.00°, γ = 90.00°
Space group P4/mmm (No. 123)
Unique sites:
Ac  0.0000  0.0000  0.2015
Nd  0.5000  0.5000  0.5000
Cu  0.5000  0.5000  0.0000


Q: What are the energies relative to the best structure? A: version i 75; version ii 0, in meV/atom.


Version i
DFT (PBE-GGA) results for AcNdCuPt after structural relaxation.

a = 4.6232 Å, b = 4.0582 Å, c = 11.1588 Å
α = 90.00°, β = 90.00°, γ = 90.00°
Space group Amm2 (No. 38)
Unique sites:
Ac  0.0000  0.0000  0.0000
Nd  0.5000  0.0000  0.7254
Cu  0.5000  0.0000  0.4316
Pt  0.0000  0.0000  0.2823


Version ii
DFT (PBE-GGA) results for AcNdCuPt after structural relaxation.

a = 7.4050 Å, b = 7.4050 Å, c = 7.4050 Å
α = 90.00°, β = 90.00°, γ = 90.00°
Space group F-43m (No. 216)
Unique sites:
Ac  0.0000  0.0000  0.0000
Nd  0.0000  0.0000  0.5000
Cu  0.2500  0.2500  0.2500
Pt  0.2500  0.2500  0.7500


Q: What are the energies relative to the best structure? A: version i 0; version ii 86, in meV/atom.


Version i
DFT (PBE-GGA) results for AcCuNi after structural relaxation.

a = 15.4883 Å, b = 4.2082 Å, c = 4.1674 Å
α = 90.00°, β = 105.51°, γ = 90.00°
Space group C2/m (No. 12)
Unique sites:
Ac  0.1184  0.0000  0.3686
Cu  0.2053  0.5000  0.9560
Ni  0.0403  0.5000  0.7903


Version ii
DFT (PBE-GGA) results for AcCuNi after structural relaxation.

a = 4.2671 Å, b = 4.2671 Å, c = 4.1480 Å
α = 90.00°, β = 90.00°, γ = 120.00°
Space group P-6m2 (No. 187)
Unique sites:
Ac  0.0000  0.0000  0.0000
Cu  0.6667  0.3333  0.5000
Ni  0.3333  0.6667  0.5000


Q: What are the energies relative to the best structure? A: version i 0; version ii 8, in meV/atom.


Version i
DFT (PBE-GGA) results for AcCuNi after structural relaxation.

a = 4.2299 Å, b = 14.0761 Å, c = 4.8118 Å
α = 90.00°, β = 90.00°, γ = 90.00°
Space group Cmcm (No. 63)
Unique sites:
Ac  0.0000  0.1262  0.2500
Cu  0.0000  0.3524  0.2500
Ni  0.0000  0.5000  0.0000


Version ii
DFT (PBE-GGA) results for AcCuNi after structural relaxation.

a = 3.9804 Å, b = 3.9804 Å, c = 8.5472 Å
α = 90.00°, β = 90.00°, γ = 90.00°
Space group I4mm (No. 107)
Unique sites:
Ac  0.0000  0.0000  0.0000
Cu  0.0000  0.0000  0.3460
Ni  0.0000  0.0000  0.6397


Q: What are the energies relative to the best structure? A: version i 0; version ii 174, in meV/atom.


Version i
DFT (PBE-GGA) results for AcCuNi after structural relaxation.

a = 6.5659 Å, b = 6.5659 Å, c = 6.5659 Å
α = 90.00°, β = 90.00°, γ = 90.00°
Space group F-43m (No. 216)
Unique sites:
Ac  0.0000  0.0000  0.0000
Cu  0.0000  0.0000  0.5000
Ni  0.2500  0.2500  0.2500


Version ii
DFT (PBE-GGA) results for AcCuNi after structural relaxation.

a = 4.2672 Å, b = 7.4040 Å, c = 8.2897 Å
α = 90.00°, β = 90.00°, γ = 90.00°
Space group Immm (No. 71)
Unique sites:
Ac  0.0000  0.0000  0.2476
Cu  0.0000  0.3304  0.0000
Ni  0.0000  0.3384  0.5000


Q: What are the energies relative to the best structure? A: version i 257; version ii 0, in meV/atom.


Version i
DFT (PBE-GGA) results for AcCuNi3 after structural relaxation.

a = 5.8994 Å, b = 5.8994 Å, c = 5.5573 Å
α = 90.00°, β = 90.00°, γ = 120.00°
Space group P6_3/mmc (No. 194)
Unique sites:
Ac  0.3333  0.6667  0.2500
Cu  0.0000  0.0000  0.0000
Ni  0.1962  0.3924  0.7500


Version ii
DFT (PBE-GGA) results for AcCuNi3 after structural relaxation.

a = 4.8647 Å, b = 8.4463 Å, c = 8.4035 Å
α = 90.00°, β = 90.00°, γ = 90.00°
Space group Imma (No. 74)
Unique sites:
Ac  0.0000  0.2500  0.0465
Cu  0.0000  0.0000  0.5000
Ni  0.0000  0.2500  0.6791
Ni  0.2500  0.0171  0.7500


Q: What are the energies relative to the best structure? A: version i 138; version ii 0, in meV/atom.


Version i
DFT (PBE-GGA) results for AcCu2Ni after structural relaxation.

a = 4.2164 Å, b = 4.2164 Å, c = 15.1759 Å
α = 90.00°, β = 90.00°, γ = 120.00°
Space group R3m (No. 160, hexagonal axes)
Unique sites:
Ac  0.0000  0.0000  0.0000
Cu  0.0000  0.0000  0.1957
Cu  0.0000  0.0000  0.4938
Ni  0.0000  0.0000  0.8014


Version ii
DFT (PBE-GGA) results for AcCu2Ni after structural relaxation.

a = 4.1018 Å, b = 18.2876 Å, c = 4.1231 Å
α = 90.00°, β = 90.00°, γ = 90.00°
Space group Cmcm (No. 63)
Unique sites:
Ac  0.0000  0.1122  0.2500
Cu  0.0000  0.2501  0.7500
Cu  0.0000  0.4615  0.2500
Ni  0.0000  0.3266  0.2500


Version iii
DFT (PBE-GGA) results for AcCu2Ni after structural relaxation.

a = 4.2084 Å, b = 4.2084 Å, c = 15.4021 Å
α = 90.00°, β = 90.00°, γ = 120.00°
Space group R-3m (No. 166, hexagonal axes)
Unique sites:
Ac  0.0000  0.0000  0.0000
Cu  0.0000  0.0000  0.1955
Ni  0.0000  0.0000  0.5000


Q: What are the energies relative to the best structure? A: version i 0; version ii 26; version iii 52, in meV/atom.